This record from Alexandria via LeMat-Bulk describes crystalline Ta2TcAg at its relaxed geometry. The functional is PBE.

Output
Energy relative to the elements = 0.212 eV/atom
Space-group type = C2/m
Relative energy among the computed polymorphs = 148.3 meV per atom

abc: 5.2718 5.2718 2.7808
angles: 98.30 98.30 114.21
With the nearest neighbours (Å) after each atom.
Fractional coordinates of all 4 atoms:
Ta (0.0000, 0.5000, 0.0000)  4 Ta 2.78-2.86, 2 Tc 2.80, 2 Ag 2.80
Ta (0.5000, 0.0000, 0.0000)  4 Ta 2.78-2.86, 2 Tc 2.80, 2 Ag 2.80
Tc (0.0000, 0.0000, 0.5000)  2 Tc 2.78, 4 Ta 2.80, 2 Ag 2.86
Ag (0.5000, 0.5000, 0.5000)  2 Ag 2.78, 4 Ta 2.80, 2 Tc 2.86

This record from Alexandria via LeMat-Bulk describes crystalline PmGa3Au2 at its relaxed geometry. The functional is PBE.

Output
Energy relative to the elements = -0.524 eV/atom
Space-group type = C2/m

abc: 8.6027 8.6027 7.0380
angles: 111.71 111.71 30.16
With the nearest neighbours (Å) after each atom.
Fractional coordinates of all 12 atoms:
Pm (0.1269, 0.1269, 0.1637)  7 Ga 3.08-3.43, 6 Au 3.19-3.43
Pm (0.8731, 0.8731, 0.8363)  7 Ga 3.08-3.43, 6 Au 3.19-3.43
Ga (0.0540, 0.0540, 0.6784)  1 Ga 2.46, 3 Au 2.64-2.67
Ga (0.3232, 0.3232, 0.1079)  4 Au 2.68-2.81, 1 Ga 2.78
Ga (0.3367, 0.3367, 0.5140)  4 Au 2.68-2.78, 1 Ga 2.78
Ga (0.6633, 0.6633, 0.4860)  4 Au 2.68-2.78, 1 Ga 2.78
Ga (0.6768, 0.6768, 0.8921)  4 Au 2.68-2.81, 1 Ga 2.78
Ga (0.9460, 0.9460, 0.3216)  1 Ga 2.46, 3 Au 2.64-2.67
Au (0.2191, 0.2191, 0.7083)  7 Ga 2.67-2.81
Au (0.4967, 0.4967, 0.2012)  4 Ga 2.64-2.72, 1 Au 2.88
Au (0.5033, 0.5033, 0.7988)  4 Ga 2.64-2.72, 1 Au 2.88
Au (0.7809, 0.7809, 0.2917)  7 Ga 2.67-2.81

This record from Alexandria via LeMat-Bulk describes crystalline SrCd2CBr at its relaxed geometry. The functional is PBE.

Output
E_form (uncorrected) = 0.19 eV per atom
Space-group type = P4/mmm

abc: 4.3678 4.3678 7.4714
angles: 90.00 90.00 90.00
With the nearest neighbours (Å) after each atom.
Fractional coordinates of all 5 atoms:
Sr (0.0000, 0.0000, 0.0000)  4 Br 3.09
Cd (0.0000, 0.5000, 0.5000)  2 C 2.18
Cd (0.5000, 0.0000, 0.5000)  2 C 2.18
C (0.5000, 0.5000, 0.5000)  4 Cd 2.18
Br (0.5000, 0.5000, 0.0000)  4 Sr 3.09

Asked for density of states at the Fermi level across the records above, the calculation gives 0.930 0.338 0.583 states/eV/atom in order.
Asked for E_tot across the records above, the calculation gives -36.08 -47.07 -13.44 eV/cell in order.